8
Lattice="-7.5071 -3.0467 1.5111 2.6895 -7.5599 -1.8808 -1.6717 -5.7353 2.6058" Properties=species:S:1:pos:R:3 comment="PBE CsRe2Sn, relaxed" density_g_cm3=10.45 dft_energy_ev_per_atom=-5.198 volume_a3_per_cell=198 magmom_total_mub_per_atom=0.45 pbc="T T T"
Re -4.3796 -4.1231 1.2815
Sn -0.6955 -9.2992 0.2701
Sn -2.4088 -5.3033 -0.1848
Re -0.0694 -6.6995 -0.2558
Cs -5.7938 -7.0426 1.9660
Cs 0.0000 0.0000 0.0000
Re -2.9192 -8.6758 1.7170
Re -5.6104 -13.1854 1.7296



6
Lattice="-1.7570 -2.4225 -0.4534 1.2990 -2.1667 -3.6028 6.4863 -5.8280 3.4008" Properties=species:S:1:pos:R:3 comment="PBE CrHgGe, relaxed" density_g_cm3=9.46 dft_energy_ev_per_atom=-4.664 volume_a3_per_cell=114 magmom_total_mub_per_atom=0.00 pbc="T T T"
Ge 0.8509 -4.6531 0.0520
Ge 5.1774 -5.7640 -0.7074
Cr 2.6604 -5.7227 -1.3151
Hg 0.6831 -3.9610 -2.6051
Hg 5.3452 -6.4561 1.9497
Cr 3.3679 -4.6944 0.6596